VASP calculation (PBE-GGA) on a relaxed structure of NaReBi2.

Structure (POSCAR):
```
NaReBi2
1.0
1.959 -4.277 1.632
-2.577 -2.881 3.139
-1.858 -4.347 -1.565
Na Re Bi
1 1 2
Direct
0.000 0.000 0.000
0.500 0.500 0.500
0.750 0.750 0.750
0.250 0.250 0.250
```

Properties
uncorrected energy: -4.83 eV per atom
ΔH_f (0 K): 556 meV/atom
DOS(E_F): 2.510 states/eV/f.u.
symmetry: No. 225
relative energy among the computed polymorphs: 0 meV/atom